Record 1
A crystal of SnO2 relaxed with PBEsol. Source: Alexandria via LeMat-Bulk, functional SCAN.

Values from the calculation:
- formation energy from raw total energies (kJ/mol of atoms) = -162

```
data_SnO2
_cell_length_a 9.181
_cell_length_b 3.196
_cell_length_c 11.262
_cell_angle_alpha 90.00
_cell_angle_beta 90.00
_cell_angle_gamma 90.00
_symmetry_space_group_name_H-M 'P n m a'
_symmetry_Int_Tables_number 62
_symmetry_space_group_name_Hall '-P 2ac 2n'
loop_
_atom_site_label
_atom_site_type_symbol
_atom_site_fract_x
_atom_site_fract_y
_atom_site_fract_z
Sn1 Sn 0.059 0.250 0.114
Sn2 Sn 0.079 0.250 0.606
O1 O 0.022 0.750 0.715
O2 O 0.077 0.250 0.927
O3 O 0.118 0.750 0.491
O4 O 0.201 0.750 0.149
```

=====

Record 2
A crystal of SnO2 relaxed with PBEsol. Source: Alexandria via LeMat-Bulk, functional SCAN.

Values from the calculation:
- formation energy from raw total energies (kJ/mol of atoms) = -164

```
data_SnO2
_cell_length_a 10.686
_cell_length_b 10.686
_cell_length_c 3.201
_cell_angle_alpha 90.00
_cell_angle_beta 90.00
_cell_angle_gamma 90.00
_symmetry_space_group_name_H-M 'I 4/m'
_symmetry_Int_Tables_number 87
_symmetry_space_group_name_Hall '-I 4'
loop_
_atom_site_label
_atom_site_type_symbol
_atom_site_fract_x
_atom_site_fract_y
_atom_site_fract_z
Sn1 Sn 0.151 0.334 0.000
O1 O 0.041 0.660 0.000
O2 O 0.156 0.209 0.500
```

=====

Record 3
A crystal of SnO2 relaxed with PBEsol. Source: Alexandria via LeMat-Bulk, functional SCAN.

Values from the calculation:
- formation energy from raw total energies (kJ/mol of atoms) = -151

```
data_SnO2
_cell_length_a 3.1958
_cell_length_b 3.1958
_cell_length_c 10.9622
_cell_angle_alpha 90.00
_cell_angle_beta 90.00
_cell_angle_gamma 120.00
_symmetry_space_group_name_H-M 'P 63/m m c'
_symmetry_Int_Tables_number 194
_symmetry_space_group_name_Hall '-P 6c 2c'
loop_
_atom_site_label
_atom_site_type_symbol
_atom_site_fract_x
_atom_site_fract_y
_atom_site_fract_z
Sn1 Sn 0.0000 0.0000 0.0000
O1 O 0.3333 0.6667 0.0919
```

=====

Record 4
A crystal of SnO2 relaxed with PBEsol. Source: Alexandria via LeMat-Bulk, functional SCAN.

Values from the calculation:
- formation energy from raw total energies (kJ/mol of atoms) = -175

```
data_SnO2
_cell_length_a 4.772
_cell_length_b 4.772
_cell_length_c 3.216
_cell_angle_alpha 90.00
_cell_angle_beta 90.00
_cell_angle_gamma 90.00
_symmetry_space_group_name_H-M 'P 42/m n m'
_symmetry_Int_Tables_number 136
_symmetry_space_group_name_Hall '-P 4n 2n'
loop_
_atom_site_label
_atom_site_type_symbol
_atom_site_fract_x
_atom_site_fract_y
_atom_site_fract_z
Sn1 Sn 0.000 0.000 0.000
O1 O 0.194 0.194 0.500
```

=====

Record 5
A crystal of Sr3Sn2O7 relaxed with PBEsol. Source: Alexandria via LeMat-Bulk, functional SCAN.

Values from the calculation:
- formation energy from raw total energies (kJ/mol of atoms) = -247

```
data_Sr3Sn2O7
_cell_length_a 20.450
_cell_length_b 5.816
_cell_length_c 5.721
_cell_angle_alpha 90.00
_cell_angle_beta 90.00
_cell_angle_gamma 90.00
_symmetry_space_group_name_H-M 'C m c m'
_symmetry_Int_Tables_number 63
_symmetry_space_group_name_Hall '-C 2c 2'
loop_
_atom_site_label
_atom_site_type_symbol
_atom_site_fract_x
_atom_site_fract_y
_atom_site_fract_z
Sr1 Sr 0.000 0.244 0.250
Sr2 Sr 0.187 0.237 0.250
Sn1 Sn 0.099 0.251 0.750
O1 O 0.000 0.325 0.750
O2 O 0.082 0.000 0.000
O3 O 0.113 0.500 0.000
O4 O 0.198 0.190 0.750
```

=====

Record 6
A crystal of SrTlSnO2 relaxed with PBEsol. Source: Alexandria via LeMat-Bulk, functional SCAN.

Values from the calculation:
- formation energy from raw total energies (kJ/mol of atoms) = -67

```
data_SrTlSnO2
_cell_length_a 4.370
_cell_length_b 4.370
_cell_length_c 5.447
_cell_angle_alpha 90.00
_cell_angle_beta 90.00
_cell_angle_gamma 90.00
_symmetry_space_group_name_H-M 'P 4/m m m'
_symmetry_Int_Tables_number 123
_symmetry_space_group_name_Hall '-P 4 2'
loop_
_atom_site_label
_atom_site_type_symbol
_atom_site_fract_x
_atom_site_fract_y
_atom_site_fract_z
Sr1 Sr 0.000 0.000 0.000
Tl1 Tl 0.500 0.500 0.000
Sn1 Sn 0.500 0.500 0.500
O1 O 0.000 0.500 0.500
```

=====

> The lowest formation energy from raw total energies belongs to which entry?

Sr3Sn2O7

=====

> The lowest formation energy from raw total energies belongs to which entry?

Sr3Sn2O7

=====

> Which of these has the lowest formation energy from raw total energies?

Sr3Sn2O7

=====

> What is the formation energy from raw total energies in the fifth record?

-247 kJ/mol of atoms